1.
Entry from Alexandria: a geometry-optimized HfCuB structure (GGA-PBE).

The structure in extended XYZ format:
```
6
Lattice="4.713 0.000 0.000 0.000 3.149 0.000 -1.751 0.000 5.256" Properties=species:S:1:pos:R:3 pbc="T T T"
Hf -0.327 0.787 1.423
Hf 3.288 2.362 3.833
Cu 0.863 0.787 4.347
Cu 2.098 2.362 0.909
B 1.059 2.362 2.717
B 1.903 0.787 2.539
```

Fermi-level density of states in states/eV per cell: 2.561
Formation enthalpy at 0 K in eV/atom: -0.289
Calculated density in g/cm3: 10.77

2.
Entry from Alexandria: a geometry-optimized HfCuB2 structure (GGA-PBE).

The structure in extended XYZ format:
```
16
Lattice="5.642 0.000 0.000 0.000 5.642 0.000 0.000 0.000 5.642" Properties=species:S:1:pos:R:3 pbc="T T T"
Hf 0.000 0.000 0.000
Hf 0.000 2.821 2.821
Hf 2.821 0.000 2.821
Hf 2.821 2.821 0.000
Cu 0.000 0.000 2.821
Cu 0.000 2.821 0.000
Cu 2.821 0.000 0.000
Cu 2.821 2.821 2.821
B 1.410 1.410 1.410
B 1.410 1.410 4.231
B 1.410 4.231 1.410
B 1.410 4.231 4.231
B 4.231 1.410 1.410
B 4.231 1.410 4.231
B 4.231 4.231 1.410
B 4.231 4.231 4.231
```

Energy relative to the lowest polymorph listed for this composition in kJ/mol of formula units: 96
Fermi-level density of states in states/eV per cell: 7.354
Formation enthalpy at 0 K in eV/atom: 0.372
Calculated density in g/cm3: 9.75

3.
Entry from Alexandria: a geometry-optimized HfCuB structure (GGA-PBE).

The structure in extended XYZ format:
```
12
Lattice="3.458 0.000 0.000 0.000 13.899 0.000 0.000 0.000 3.145" Properties=species:S:1:pos:R:3 pbc="T T T"
Hf 0.000 1.328 0.786
Hf 0.000 12.570 2.359
Hf 1.729 5.621 2.359
Hf 1.729 8.277 0.786
Cu 0.000 4.075 0.786
Cu 0.000 9.824 2.359
Cu 1.729 2.875 2.359
Cu 1.729 11.024 0.786
B 0.000 6.507 0.786
B 0.000 7.392 2.359
B 1.729 0.442 2.359
B 1.729 13.456 0.786
```

Fermi-level density of states in states/eV per cell: 2.287
Formation enthalpy at 0 K in eV/atom: -0.578
Calculated density in g/cm3: 11.11

> Among the records above, which one has the lowest calculated density?

HfCuB2

> Look up the Fermi-level density of states of the third one.

2.287 states/eV per cell